# 1
This record from the Open Quantum Materials Database describes an optimized crystal structure of CdSnW2. The functional is PBE.

Unit cell a=4.6895 b=4.6895 c=4.6895 alpha=60.00 beta=60.00 gamma=60.00
With the nearest neighbours (Å) after each atom.
Fractional coordinates of all 4 atoms:
Cd  0.2500  0.2500  0.2500  4 Sn 2.87, 4 W 2.87
Sn  0.5000  0.5000  0.5000  4 W 2.87, 4 Cd 2.87
W  0.0000  0.0000  0.0000  4 Cd 2.87, 4 W 2.87
W  0.7500  0.7500  0.7500  4 Sn 2.87, 4 W 2.87



# 2
This record from the Open Quantum Materials Database describes an optimized crystal structure of YCd2Sn. The functional is PBE.

Unit cell a=5.1831 b=5.1831 c=5.1831 alpha=60.00 beta=60.00 gamma=60.00
With the nearest neighbours (Å) after each atom.
Fractional coordinates of all 4 atoms:
Cd  0.0000  0.0000  0.0000  4 Y 3.17, 4 Cd 3.17
Cd  0.7500  0.7500  0.7500  4 Sn 3.17, 4 Cd 3.17
Sn  0.5000  0.5000  0.5000  4 Cd 3.17, 4 Y 3.17
Y  0.2500  0.2500  0.2500  4 Cd 3.17, 4 Sn 3.17



# 3
This record from the Open Quantum Materials Database describes an optimized crystal structure of YCdSn. The functional is PBE.

Unit cell a=4.9375 b=4.9375 c=4.9375 alpha=60.00 beta=60.00 gamma=60.00
With the nearest neighbours (Å) after each atom.
Fractional coordinates of all 3 atoms:
Cd  0.0000  0.0000  0.0000  4 Sn 3.02
Sn  0.2500  0.2500  0.2500  4 Y 3.02, 4 Cd 3.02
Y  0.5000  0.5000  0.5000  4 Sn 3.02



# 4
This record from the Open Quantum Materials Database describes an optimized crystal structure of Zn2CdSn. The functional is PBE.

Unit cell a=4.9080 b=4.9080 c=4.9080 alpha=60.00 beta=60.00 gamma=60.00
With the nearest neighbours (Å) after each atom.
Fractional coordinates of all 4 atoms:
Cd  0.2500  0.2500  0.2500  4 Sn 3.01, 4 Zn 3.01
Sn  0.5000  0.5000  0.5000  4 Cd 3.01, 4 Zn 3.01
Zn  0.0000  0.0000  0.0000  4 Cd 3.01, 4 Zn 3.01
Zn  0.7500  0.7500  0.7500  4 Sn 3.01, 4 Zn 3.01



Calculated total DFT energy (no corrections) (eV/atom), listed in the same order as above: -6.94 -3.28 -4.06 -1.68